A plane-wave DFT calculation with PBE was carried out for a relaxed structure of BeRhAu2Br.

a = 5.067 Å, b = 4.650 Å, c = 5.067 Å
α = 90.00°, β = 90.00°, γ = 90.00°
Fractional coordinates of all 5 atoms:
Rh 0.000 0.500 0.000
Au 0.000 0.000 0.500
Au 0.500 0.000 0.000
Br 0.000 0.000 0.000
Be 0.500 0.500 0.500

Summary:
**Formation energy (no corrections)**: 1.4309 eV/atom
**Symmetry**: P4/mmm (123)

=====

A plane-wave DFT calculation with PBE was carried out for a relaxed structure of BeAuSe2Br.

a = 4.703 Å, b = 4.703 Å, c = 4.655 Å
α = 90.00°, β = 90.00°, γ = 90.00°
Fractional coordinates of all 5 atoms:
Be 0.000 0.000 0.000
Au 0.500 0.500 0.500
Se 0.000 0.500 0.000
Se 0.500 0.000 0.000
Br 0.000 0.000 0.500

Summary:
**Formation energy (no corrections)**: 0.4173 eV/atom
**Symmetry**: P4/mmm (123)
**Distance to the lowest polymorph of the same formula**: 0.0 meV per atom

=====

A plane-wave DFT calculation with PBE was carried out for a relaxed structure of BeAuSeBr2.

a = 5.158 Å, b = 5.158 Å, c = 5.312 Å
α = 90.00°, β = 90.00°, γ = 90.00°
Fractional coordinates of all 5 atoms:
Be 0.500 0.500 0.500
Au 0.000 0.000 0.000
Se 0.000 0.000 0.500
Br 0.000 0.500 0.000
Br 0.500 0.000 0.000

Summary:
**Formation energy (no corrections)**: 0.7513 eV/atom
**Symmetry**: P4/mmm (123)
**Distance to the lowest polymorph of the same formula**: 520.8 meV per atom

=====

A plane-wave DFT calculation with PBE was carried out for a relaxed structure of BeAuSe2Br.

a = 5.124 Å, b = 5.124 Å, c = 5.163 Å
α = 90.00°, β = 90.00°, γ = 90.00°
Fractional coordinates of all 5 atoms:
Be 0.500 0.500 0.500
Au 0.000 0.000 0.000
Se 0.000 0.500 0.000
Se 0.500 0.000 0.000
Br 0.000 0.000 0.500

Summary:
**Formation energy (no corrections)**: 0.9192 eV/atom
**Symmetry**: P4/mmm (123)
**Distance to the lowest polymorph of the same formula**: 501.9 meV per atom